No. 1
LaMgIn3, optimized geometry, DFT GGA-PBE; symmetry = Pmmn; calculated total energy = -0.11915 Ha/atom; volume = 27.63 A^3/atom
1.0
4.682 0.000 0.000
0.000 7.450 0.000
0.000 0.000 7.920
La Mg In
2 2 6
direct
0.250 0.250 0.180
0.750 0.750 0.820
0.250 0.750 0.476
0.750 0.250 0.524
0.250 0.052 0.712
0.250 0.448 0.712
0.250 0.750 0.104
0.750 0.250 0.896
0.750 0.552 0.288
0.750 0.948 0.288

---

No. 2
La2MgIn, optimized geometry, DFT GGA-PBE; symmetry = R-3m; calculated total energy = -0.13409 Ha/atom; volume = 31.58 A^3/atom
1.0
1.799 1.039 11.262
-1.799 1.039 11.262
0.000 -2.078 11.262
La Mg In
2 1 1
direct
0.250 0.250 0.250
0.750 0.750 0.750
0.000 0.000 0.000
0.500 0.500 0.500

---

No. 3
LaMgIn4, optimized geometry, DFT GGA-PBE; symmetry = Cmmm; calculated total energy = -0.11617 Ha/atom; volume = 26.72 A^3/atom
1.0
2.417 -6.605 0.000
2.417 6.605 0.000
0.000 0.000 5.021
La Mg In
1 1 4
direct
0.000 0.000 0.000
0.500 0.500 0.500
0.166 0.834 0.500
0.323 0.677 0.000
0.677 0.323 0.000
0.834 0.166 0.500

---

No. 4
La2MgIn, optimized geometry, DFT GGA-PBE; symmetry = Pmmm; calculated total energy = -0.14181 Ha/atom; volume = 30.66 A^3/atom
1.0
3.623 0.000 0.000
0.000 4.633 0.000
0.000 0.000 7.306
La Mg In
2 1 1
direct
0.000 0.000 0.240
0.000 0.000 0.760
0.500 0.500 0.500
0.500 0.500 0.000

---

No. 5
LaMgIn, optimized geometry, DFT GGA-PBE; symmetry = Imma; calculated total energy = -0.12680 Ha/atom; volume = 27.32 A^3/atom
1.0
-2.993 3.188 4.296
2.993 -3.188 4.296
2.993 3.188 -4.296
La Mg In
2 2 2
direct
0.386 0.136 0.250
0.614 0.864 0.750
0.000 0.000 0.500
0.000 0.500 0.000
0.000 0.500 0.500
0.500 0.500 0.000

---

No. 6
LaMg4In15, optimized geometry, DFT GGA-PBE; symmetry = P4/mmm; calculated total energy = -0.10054 Ha/atom; volume = 25.46 A^3/atom
1.0
4.685 0.000 0.000
0.000 4.685 0.000
0.000 0.000 23.192
La Mg In
1 4 15
direct
0.000 0.000 0.000
0.000 0.000 0.203
0.000 0.000 0.401
0.000 0.000 0.599
0.000 0.000 0.797
0.000 0.500 0.107
0.000 0.500 0.303
0.000 0.500 0.500
0.000 0.500 0.697
0.000 0.500 0.893
0.500 0.000 0.107
0.500 0.000 0.303
0.500 0.000 0.500
0.500 0.000 0.697
0.500 0.000 0.893
0.500 0.500 0.000
0.500 0.500 0.206
0.500 0.500 0.403
0.500 0.500 0.597
0.500 0.500 0.794

---

No. 7
LaMg6In6, optimized geometry, DFT GGA-PBE; symmetry = Immm; calculated total energy = -0.09432 Ha/atom; volume = 24.51 A^3/atom
1.0
-3.082 4.951 5.220
3.082 -4.951 5.220
3.082 4.951 -5.220
La Mg In
1 6 6
direct
0.000 0.000 0.000
0.000 0.000 0.500
0.000 0.500 0.000
0.239 0.500 0.739
0.500 0.000 0.000
0.500 0.500 0.500
0.761 0.500 0.261
0.175 0.675 0.500
0.343 0.343 0.000
0.348 0.000 0.348
0.652 0.000 0.652
0.657 0.657 0.000
0.825 0.325 0.500

---

No. 8
LaMgIn, optimized geometry, DFT GGA-PBE; symmetry = Pm; calculated total energy = -0.12427 Ha/atom; volume = 27.71 A^3/atom
1.0
4.951 0.000 0.000
0.000 4.693 0.000
-2.457 0.000 7.154
La Mg In
2 2 2
direct
0.000 0.000 0.000
0.333 0.000 0.671
0.522 0.500 0.045
0.669 0.000 0.339
0.166 0.500 0.334
0.821 0.500 0.647

---

no.,DOS at the Fermi energy (states/eV/f.u.),DFT formation energy (eV per formula unit)
1,1.4,-1.47
2,5.0,-0.41
3,3.6,-1.49
4,3.9,-1.25
5,2.3,-1.09
6,10.7,-2.34
7,5.7,-2.44
8,1.0,-0.88